First-principles (PBE-GGA) data for an optimized crystal structure of MnSb2Pt, as listed in Alexandria.

Geometry as POSCAR:
```
MnSb2Pt
1.0
0.000 3.466 3.466
3.466 0.000 3.466
3.466 3.466 0.000
Mn Sb Pt
1 2 1
Cartesian
0.000 0.000 0.000
3.466 3.466 3.466
5.200 5.200 5.200
1.733 1.733 1.733
```

The value obtained for the raw formation energy is 0.26 eV/atom.